This record from Alexandria via LeMat-Bulk describes a relaxed structure of Pm4Pr5In4. The functional is PBE.

Cell lengths 9.304, 9.304, 9.304 Å; angles 94.56, 94.56, 147.25 degrees
Fractional coordinates of all 13 atoms:
Pm (0.094, 0.386, 0.480)
Pm (0.386, 0.906, 0.292)
Pm (0.614, 0.094, 0.708)
Pm (0.906, 0.614, 0.520)
Pr (0.000, 0.000, 0.000)
Pr (0.309, 0.596, 0.906)
Pr (0.404, 0.309, 0.713)
Pr (0.596, 0.691, 0.287)
Pr (0.691, 0.404, 0.094)
In (0.110, 0.766, 0.877)
In (0.234, 0.110, 0.344)
In (0.766, 0.890, 0.656)
In (0.890, 0.234, 0.123)

Computed properties:
The energy of formation from the pure elements comes out at -0.308 eV per atom. Its space group is I4/m (87).


This record from Alexandria via LeMat-Bulk describes a relaxed structure of Cs3ErBi2S6. The functional is PBE.

Cell lengths 7.248, 7.248, 8.401 Å; angles 98.26, 98.26, 119.99 degrees
Fractional coordinates of all 12 atoms:
Cs (0.000, 0.000, 0.000)
Cs (0.330, 0.670, 0.000)
Cs (0.670, 0.330, 0.000)
Er (0.500, 0.500, 0.500)
Bi (0.166, 0.834, 0.500)
Bi (0.834, 0.166, 0.500)
S (0.116, 0.438, 0.315)
S (0.240, 0.240, 0.686)
S (0.438, 0.116, 0.315)
S (0.562, 0.884, 0.685)
S (0.760, 0.760, 0.314)
S (0.884, 0.562, 0.685)

Computed properties:
Its space group is C2/m (12). As for the uncorrected formation energy: -1.12 eV/atom.


This record from Alexandria via LeMat-Bulk describes a relaxed structure of BeAlCd2. The functional is PBE.

Cell lengths 5.831, 8.271, 2.976 Å; angles 90.00, 90.00, 90.00 degrees
Fractional coordinates of all 8 atoms:
Be (0.000, 0.000, 0.000)
Be (0.500, 0.500, 0.000)
Al (0.000, 0.500, 0.000)
Al (0.500, 0.000, 0.000)
Cd (0.250, 0.250, 0.500)
Cd (0.250, 0.750, 0.500)
Cd (0.750, 0.250, 0.500)
Cd (0.750, 0.750, 0.500)

Computed properties:
The energy of formation from the pure elements comes out at 0.399 eV per atom. Its space group is Cmmm (65). As for the offset from the most stable computed form: 0.184 eV per atom.